VASP calculation (SCAN) on a crystal of TlHg2Os relaxed with PBEsol.

a b c (Å): 2.9143 5.0611 5.5635
angles (deg): 90.00 102.63 90.00
Positions (direct):
Tl 0.0000 0.0000 0.0000
Hg 0.3531 0.5000 0.7335
Hg 0.6469 0.5000 0.2665
Os 0.0000 0.0000 0.5000

**E above lowest polymorph**: 0 meV/atom
**Spin magnetization**: 0.7 μB per formula unit
**Calculated formation energy**: 0.862 eV/atom
**Crystal system**: monoclinic
**SG**: P2/m (10)
**Calculated total energy**: -69.28 eV per atom



VASP calculation (SCAN) on a crystal of TlHgOs2 relaxed with PBEsol.

a b c (Å): 2.8548 4.2475 5.8110
angles (deg): 90.00 90.00 90.00
Positions (direct):
Tl 0.0000 0.0000 0.0000
Hg 0.0000 0.0000 0.5000
Os 0.5000 0.5000 0.2828
Os 0.5000 0.5000 0.7172

**E above lowest polymorph**: 605 meV/atom
**Spin magnetization**: 0.0 μB per formula unit
**Calculated formation energy**: 1.354 eV/atom
**Crystal system**: orthorhombic
**SG**: Pmmm (47)
**Calculated total energy**: -69.72 eV per atom



VASP calculation (SCAN) on a crystal of TlHg2Os relaxed with PBEsol.

a b c (Å): 2.9521 5.0055 5.3061
angles (deg): 90.00 90.00 90.00
Positions (direct):
Tl 0.0000 0.0000 0.0000
Hg 0.0000 0.5000 0.5000
Hg 0.5000 0.0000 0.5000
Os 0.5000 0.5000 0.0000

**E above lowest polymorph**: 8 meV/atom
**Spin magnetization**: 0.9 μB per formula unit
**Calculated formation energy**: 0.870 eV/atom
**Crystal system**: orthorhombic
**SG**: Pmmm (47)
**Calculated total energy**: -69.27 eV per atom



VASP calculation (SCAN) on a crystal of HgOs2W relaxed with PBEsol.

a b c (Å): 2.8131 2.8131 27.6267
angles (deg): 90.00 90.00 120.00
Positions (direct):
Hg 0.0000 0.0000 0.0000
Hg 0.3333 0.6667 0.6667
Hg 0.6667 0.3333 0.3333
Os 0.0000 0.0000 0.2435
Os 0.0000 0.0000 0.7565
Os 0.3333 0.6667 0.4232
Os 0.3333 0.6667 0.9102
Os 0.6667 0.3333 0.0898
Os 0.6667 0.3333 0.5768
W 0.0000 0.0000 0.5000
W 0.3333 0.6667 0.1667
W 0.6667 0.3333 0.8333

**Spin magnetization**: 0.0 μB per formula unit
**Calculated formation energy**: 0.437 eV/atom
**Crystal system**: trigonal
**SG**: R-3m (166)
**Calculated total energy**: -69.97 eV per atom



VASP calculation (SCAN) on a crystal of HgOs2W relaxed with PBEsol.

a b c (Å): 4.0759 4.0759 3.7326
angles (deg): 90.00 90.00 90.00
Positions (direct):
Hg 0.0000 0.0000 0.0000
Os 0.0000 0.5000 0.5000
Os 0.5000 0.0000 0.5000
W 0.5000 0.5000 0.0000

**Spin magnetization**: 0.0 μB per formula unit
**Calculated formation energy**: 0.818 eV/atom
**Crystal system**: tetragonal
**SG**: P4/mmm (123)
**Calculated total energy**: -69.59 eV per atom



VASP calculation (SCAN) on a crystal of YHgOs2 relaxed with PBEsol.

a b c (Å): 4.1142 4.1142 8.2517
angles (deg): 90.00 90.00 90.00
Positions (direct):
Y 0.0000 0.0000 0.0000
Y 0.5000 0.5000 0.5000
Hg 0.0000 0.5000 0.2500
Hg 0.5000 0.0000 0.7500
Os 0.0000 0.0000 0.5000
Os 0.0000 0.5000 0.7500
Os 0.5000 0.0000 0.2500
Os 0.5000 0.5000 0.0000

**Spin magnetization**: 0.0 μB per formula unit
**Calculated formation energy**: 0.419 eV/atom
**Crystal system**: tetragonal
**SG**: I-4m2 (119)
**Calculated total energy**: -59.52 eV per atom



VASP calculation (SCAN) on a crystal of YHg2Os relaxed with PBEsol.

a b c (Å): 6.7847 6.7847 6.7847
angles (deg): 90.00 90.00 90.00
Positions (direct):
Y 0.0000 0.0000 0.0000
Y 0.0000 0.5000 0.5000
Y 0.5000 0.0000 0.5000
Y 0.5000 0.5000 0.0000
Hg 0.2500 0.2500 0.2500
Hg 0.2500 0.2500 0.7500
Hg 0.2500 0.7500 0.2500
Hg 0.2500 0.7500 0.7500
Hg 0.7500 0.2500 0.2500
Hg 0.7500 0.2500 0.7500
Hg 0.7500 0.7500 0.2500
Hg 0.7500 0.7500 0.7500
Os 0.0000 0.0000 0.5000
Os 0.0000 0.5000 0.0000
Os 0.5000 0.0000 0.0000
Os 0.5000 0.5000 0.5000

**E above lowest polymorph**: 0 meV/atom
**Spin magnetization**: 0.0 μB per formula unit
**Calculated formation energy**: 0.150 eV/atom
**Crystal system**: cubic
**SG**: Fm-3m (225)
**Calculated total energy**: -58.86 eV per atom



VASP calculation (SCAN) on a crystal of YHgOs2 relaxed with PBEsol.

a b c (Å): 10.6358 2.9840 4.9434
angles (deg): 90.00 113.94 90.00
Positions (direct):
Y 0.0000 0.0000 0.0000
Y 0.5000 0.5000 0.0000
Hg 0.2823 0.5000 0.3729
Hg 0.7823 0.0000 0.3729
Os 0.0345 0.5000 0.5153
Os 0.2348 0.0000 0.8473
Os 0.5345 0.0000 0.5153
Os 0.7348 0.5000 0.8473

**Spin magnetization**: 0.0 μB per formula unit
**Calculated formation energy**: 0.326 eV/atom
**Crystal system**: monoclinic
**SG**: Cm (8)
**Calculated total energy**: -59.62 eV per atom



VASP calculation (SCAN) on a crystal of YHg2Os relaxed with PBEsol.

a b c (Å): 3.0394 3.0394 29.4170
angles (deg): 90.00 90.00 120.00
Positions (direct):
Y 0.0000 0.0000 0.0000
Y 0.3333 0.6667 0.6667
Y 0.6667 0.3333 0.3333
Hg 0.0000 0.0000 0.2437
Hg 0.0000 0.0000 0.7563
Hg 0.3333 0.6667 0.4230
Hg 0.3333 0.6667 0.9103
Hg 0.6667 0.3333 0.0897
Hg 0.6667 0.3333 0.5770
Os 0.0000 0.0000 0.5000
Os 0.3333 0.6667 0.1667
Os 0.6667 0.3333 0.8333

**E above lowest polymorph**: 393 meV/atom
**Spin magnetization**: 0.9 μB per formula unit
**Calculated formation energy**: 0.543 eV/atom
**Crystal system**: trigonal
**SG**: R-3m (166)
**Calculated total energy**: -58.47 eV per atom



VASP calculation (SCAN) on a crystal of ZnHgOs relaxed with PBEsol.

a b c (Å): 2.8460 2.8460 11.8103
angles (deg): 90.00 90.00 90.00
Positions (direct):
Zn 0.0000 0.0000 0.0000
Zn 0.5000 0.5000 0.5000
Hg 0.0000 0.0000 0.6817
Hg 0.5000 0.5000 0.1817
Os 0.0000 0.0000 0.3588
Os 0.5000 0.5000 0.8588

**E above lowest polymorph**: 92 meV/atom
**Spin magnetization**: 0.0 μB per formula unit
**Calculated formation energy**: 0.648 eV/atom
**Crystal system**: tetragonal
**SG**: I4mm (107)
**Calculated total energy**: -50.54 eV per atom



VASP calculation (SCAN) on a crystal of ZnHg2Os relaxed with PBEsol.

a b c (Å): 2.8892 4.9572 9.7991
angles (deg): 90.00 90.00 90.00
Positions (direct):
Zn 0.0000 0.0000 0.0000
Zn 0.5000 0.5000 0.0000
Hg 0.0000 0.0000 0.5385
Hg 0.0000 0.5000 0.2494
Hg 0.5000 0.0000 0.2494
Hg 0.5000 0.5000 0.5385
Os 0.0000 0.5000 0.7898
Os 0.5000 0.0000 0.7898

**Spin magnetization**: 0.0 μB per formula unit
**Calculated formation energy**: 0.570 eV/atom
**Crystal system**: orthorhombic
**SG**: Cmm2 (35)
**Calculated total energy**: -54.86 eV per atom



VASP calculation (SCAN) on a crystal of ZnHg2Os relaxed with PBEsol.

a b c (Å): 2.7537 3.8097 6.7503
angles (deg): 90.00 90.00 90.00
Positions (direct):
Zn 0.0000 0.0000 0.0000
Hg 0.0000 0.0000 0.5748
Hg 0.5000 0.5000 0.2741
Os 0.5000 0.5000 0.8411

**Spin magnetization**: 0.0 μB per formula unit
**Calculated formation energy**: 0.564 eV/atom
**Crystal system**: orthorhombic
**SG**: Pmm2 (25)
**Calculated total energy**: -54.87 eV per atom